(1)
Material: ErLuPbN
Method: DFT, PBE-GGA
State: relaxed

Lattice parameters (Å, degrees): 3.488 3.488 15.297 90.00 90.00 120.00
Positions (direct):
Er 0.333 0.667 0.084
Er 0.667 0.333 0.916
Lu 0.333 0.667 0.418
Lu 0.667 0.333 0.582
N 0.000 0.000 0.000
N 0.000 0.000 0.500
Pb 0.667 0.333 0.252
Pb 0.333 0.667 0.748

- Space-group type: P-3m1, No. 164
- Total DFT energy (no corrections): -6.392 eV per atom
- Size of the total moment: 0.01 Bohr magnetons per cell



(2)
Material: ErLuPbN
Method: DFT, PBE-GGA
State: relaxed

Lattice parameters (Å, degrees): 3.491 3.491 15.285 90.00 90.00 120.00
Positions (direct):
Er 0.000 0.000 0.333
Er 0.000 0.000 0.667
Lu 0.333 0.667 0.167
Lu 0.333 0.667 0.833
N 0.667 0.333 0.246
N 0.667 0.333 0.754
Pb 0.000 0.000 0.000
Pb 0.333 0.667 0.500

- Space-group type: P-6m2, No. 187
- Total DFT energy (no corrections): -6.393 eV per atom
- Size of the total moment: 0.00 Bohr magnetons per cell



(3)
Material: ErLuTlN
Method: DFT, PBE-GGA
State: relaxed

Lattice parameters (Å, degrees): 3.467 3.467 15.460 90.00 90.00 120.00
Positions (direct):
Er 0.333 0.667 0.167
Er 0.333 0.667 0.833
Lu 0.667 0.333 0.334
Lu 0.667 0.333 0.666
N 0.000 0.000 0.253
N 0.000 0.000 0.747
Tl 0.667 0.333 0.000
Tl 0.333 0.667 0.500

- Space-group type: P-6m2, No. 187
- Total DFT energy (no corrections): -5.979 eV per atom
- Size of the total moment: 0.05 Bohr magnetons per cell